Material: CsKAu
Method: DFT, PBE
State: relaxed

Structure (POSCAR):
```
CsKAu
1.0
5.9671 0.0000 0.0000
2.9836 5.1677 0.0000
2.9836 1.7226 4.8721
K Cs Au
1 1 1
direct
0.5000 0.5000 0.5000
0.0000 0.0000 0.0000
0.2500 0.2500 0.2500
```

Summary:
Calculated density ... 4078 kg/m3
Volume ... 150.2 Å³/cell
D(E_F) ... 2.45 states/eV/f.u.
ΔH_f (0 K) ... -178.7 meV/atom
Symmetry ... No. 216

Material: CoRe2Au
Method: DFT, PBE
State: relaxed

Structure (POSCAR):
```
CoRe2Au
1.0
4.8809 0.0067 0.0000
1.9703 4.4656 0.0000
-3.4256 -2.2361 2.6624
Au Re Co
1 2 1
direct
0.2500 0.7500 0.5000
0.5000 0.5000 0.0000
0.0000 0.0000 0.0000
0.7500 0.2500 0.5000
```

Summary:
Calculated density ... 17990 kg/m3
Volume ... 58.0 Å³/cell
D(E_F) ... 3.04 states/eV/f.u.
ΔH_f (0 K) ... 403.2 meV/atom
Symmetry ... No. 139

Material: Na2CeSmO4
Method: DFT, PBE
State: relaxed

Structure (POSCAR):
```
Na2CeSmO4
1.0
3.5608 0.0000 0.0000
0.0000 6.1659 0.1080
0.0000 -2.1516 5.5937
Sm O Ce Na
1 4 1 2
direct
0.0000 0.0000 0.0000
0.5000 0.7631 0.7848
0.5000 0.2369 0.2152
0.0000 0.2593 0.7834
0.0000 0.7407 0.2166
0.5000 0.5000 0.0000
0.5000 0.0000 0.5000
0.0000 0.5000 0.5000
```

Summary:
Calculated density ... 5378 kg/m3
Volume ... 123.6 Å³/cell
Raw formation energy ... -21.0 eV per formula unit
D(E_F) ... 2.53 states/eV/f.u.
Symmetry ... No. 10

Material: LiCdO2
Method: DFT, PBE
State: relaxed

Structure (POSCAR):
```
LiCdO2
1.0
4.5501 0.0000 0.0000
0.0000 4.5501 0.0000
2.2750 2.2750 5.2150
Cd O Li
2 4 2
direct
0.0000 0.0000 0.0000
0.7500 0.2500 0.5000
0.3750 0.4146 0.7500
0.5854 0.1250 0.2500
0.8750 0.8354 0.7500
0.1646 0.6250 0.2500
0.2500 0.7500 0.5000
0.5000 0.5000 0.0000
```

Summary:
Calculated density ... 4656 kg/m3
Volume ... 108.0 Å³/cell
Raw formation energy ... -3.9 eV per formula unit
D(E_F) ... 2.07 states/eV/f.u.
Symmetry ... No. 122

Material: ZrTaB2
Method: DFT, PBE
State: relaxed

Structure (POSCAR):
```
ZrTaB2
1.0
-2.8501 -3.0179 0.5070
-0.0200 -2.2907 3.4986
-3.0753 0.4763 2.7935
B Zr Ta
2 1 1
direct
0.2500 0.2500 0.2500
0.7500 0.7500 0.7500
0.0000 0.0000 0.0000
0.5000 0.5000 0.5000
```

Summary:
Calculated density ... 9434 kg/m3
Volume ... 51.7 Å³/cell
D(E_F) ... 4.21 states/eV/f.u.
ΔH_f (0 K) ... 251.4 meV/atom
Symmetry ... No. 225

Material: CoCu2Pt
Method: DFT, PBE
State: relaxed

Structure (POSCAR):
```
CoCu2Pt
1.0
-4.1611 0.8501 -1.5087
-2.3442 -3.8478 0.1133
2.4703 2.0481 3.1649
Cu Co Pt
2 1 1
direct
0.2500 0.7500 0.5000
0.0000 0.0000 0.0000
0.7500 0.2500 0.5000
0.5000 0.5000 0.0000
```

Summary:
Calculated density ... 12388 kg/m3
Volume ... 51.1 Å³/cell
D(E_F) ... 4.48 states/eV/f.u.
ΔH_f (0 K) ... -10.0 meV/atom
Symmetry ... No. 119

Material: HoGa12Cu7
Method: DFT, PBE
State: relaxed

Structure (POSCAR):
```
HoGa12Cu7
1.0
7.8312 0.0000 0.0000
-2.6104 7.3833 0.0000
-2.6104 -3.6916 6.3941
Cu Ho Ga
7 1 12
direct
0.5000 0.5000 0.5000
0.0000 0.5000 0.0000
0.0000 0.0000 0.5000
0.5000 0.5000 0.0000
0.5000 0.0000 0.0000
0.5000 0.0000 0.5000
0.0000 0.5000 0.5000
0.0000 0.0000 0.0000
0.6617 0.2234 0.8852
0.8852 0.6617 0.2234
0.2234 0.5617 0.3383
0.5617 0.3383 0.2234
0.6617 0.7766 0.4383
0.7766 0.1148 0.3383
0.3383 0.2234 0.5617
0.7766 0.4383 0.6617
0.4383 0.6617 0.7766
0.1148 0.3383 0.7766
0.3383 0.7766 0.1148
0.2234 0.8852 0.6617
```

Summary:
Calculated density ... 6497 kg/m3
Volume ... 369.7 Å³/cell
D(E_F) ... 8.19 states/eV/f.u.
ΔH_f (0 K) ... 75.2 meV/atom
Symmetry ... No. 204

Material: Co2AuSe
Method: DFT, PBE
State: relaxed

Structure (POSCAR):
```
Co2AuSe
1.0
4.4532 -0.0063 -0.0142
3.5087 2.7423 -0.0142
0.6896 0.2370 5.0637
Co Se Au
2 1 1
direct
0.0132 0.0132 0.9344
0.7475 0.7475 0.7664
0.4793 0.4793 0.5859
0.2600 0.2600 0.2133
```

Summary:
Calculated density ... 10550 kg/m3
Volume ... 62.0 Å³/cell
Raw formation energy ... 1.0 eV per formula unit
D(E_F) ... 4.31 states/eV/f.u.
Symmetry ... No. 8